Density functional theory data (PBE-GGA) for an optimized crystal structure of YBOs.

Output
* space-group type: No. 216
* energy above the most stable polymorph in this dataset: 1.4535 eV per atom
* VASP energy: -6.46 eV per atom
* crystal system: cubic

a b c (Å): 4.3970 4.3970 4.3970
angles (deg): 60.00 60.00 60.00
Fractional coordinates of all 3 atoms:
Y: 0.0000 0.0000 0.0000
B: 0.7500 0.7500 0.7500
Os: 0.2500 0.2500 0.2500